Version 1
## RbLi2Te2 (PBEsol)

Data for a relaxed RbLi2Te2 crystal.

```
data_RbLi2Te2
_space_group_name_H-M_alt 'I 4/m m m'
_space_group_IT_number 139
_space_group_name_Hall '-I 4 2'
_cell_length_a 4.770
_cell_length_b 4.770
_cell_length_c 12.365
_cell_angle_alpha 90.00
_cell_angle_beta 90.00
_cell_angle_gamma 90.00
loop_
_atom_site_label
_atom_site_type_symbol
_atom_site_fract_x
_atom_site_fract_y
_atom_site_fract_z
Rb1 Rb 0.000 0.000 0.000
Li1 Li 0.000 0.500 0.250
Te1 Te 0.000 0.000 0.365
```

Values from the calculation:
Theoretical density (g/cm³): 4.2
DOS(E_F) (states/eV/cell): 5.8


Version 2
## RbLi2Te2 (PBEsol)

Data for a relaxed RbLi2Te2 crystal.

```
data_RbLi2Te2
_space_group_name_H-M_alt 'P 4/m b m'
_space_group_IT_number 127
_space_group_name_Hall '-P 4 2ab'
_cell_length_a 8.718
_cell_length_b 8.718
_cell_length_c 3.400
_cell_angle_alpha 90.00
_cell_angle_beta 90.00
_cell_angle_gamma 90.00
loop_
_atom_site_label
_atom_site_type_symbol
_atom_site_fract_x
_atom_site_fract_y
_atom_site_fract_z
Rb1 Rb 0.000 0.000 0.000
Li1 Li 0.119 0.381 0.000
Te1 Te 0.168 0.668 0.500
```

Values from the calculation:
Theoretical density (g/cm³): 4.6
DOS(E_F) (states/eV/cell): 1.4


Energies, relative to the best one, in meV/atom: version 1 0; version 2 42.